Entry 1:
Computed, not measured: a PBEsol-optimized structure of KInP2 at the meta-GGA SCAN level of DFT.

Lattice parameters (Å, degrees): 9.8179 9.8179 9.8179 150.84 150.84 41.71
Fractional positions:
K 0.0000 0.0000 0.0000
K 0.7500 0.2500 0.5000
In 0.2500 0.7500 0.5000
In 0.5000 0.5000 0.0000
P 0.3657 0.6250 0.2407
P 0.3750 0.6157 0.7407
P 0.3843 0.1250 0.7593
P 0.8750 0.6343 0.2593

magnetization: 0.000 μB/atom
uncorrected energy: -15.571 eV per atom
formation energy from the elements: 0.058 eV/atom

Entry 2:
Computed, not measured: a PBEsol-optimized structure of K2In2P3Se10 at the meta-GGA SCAN level of DFT.

Lattice parameters (Å, degrees): 19.6387 7.6706 13.2387 90.00 106.75 90.00
Fractional positions:
K 0.0734 0.1484 0.4055
K 0.0734 0.3516 0.9055
K 0.4125 0.5608 0.8227
K 0.4125 0.9392 0.3227
K 0.5875 0.0608 0.6773
K 0.5875 0.4392 0.1773
K 0.9266 0.6484 0.0945
K 0.9266 0.8516 0.5945
In 0.1873 0.6388 0.6028
In 0.1873 0.8612 0.1028
In 0.3248 0.0331 0.9707
In 0.3248 0.4669 0.4707
In 0.6752 0.5331 0.5293
In 0.6752 0.9669 0.0293
In 0.8127 0.1388 0.8972
In 0.8127 0.3612 0.3972
P 0.1511 0.6784 0.3172
P 0.1511 0.8216 0.8172
P 0.1636 0.0642 0.7259
P 0.1636 0.4358 0.2259
P 0.4798 0.1159 0.9468
P 0.4798 0.3841 0.4468
P 0.5202 0.6159 0.5532
P 0.5202 0.8841 0.0532
P 0.8364 0.5642 0.7741
P 0.8364 0.9358 0.2741
P 0.8489 0.1784 0.1828
P 0.8489 0.3216 0.6828
Se 0.0576 0.1646 0.6531
Se 0.0576 0.3354 0.1531
Se 0.0855 0.6011 0.4208
Se 0.0855 0.8989 0.9208
Se 0.0900 0.6224 0.7070
Se 0.0900 0.8776 0.2070
Se 0.2234 0.2461 0.8463
Se 0.2234 0.2539 0.3463
Se 0.2231 0.5308 0.1144
Se 0.2231 0.9692 0.6144
Se 0.2571 0.7209 0.9015
Se 0.2571 0.7791 0.4015
Se 0.2803 0.0955 0.1362
Se 0.2803 0.4045 0.6362
Se 0.3942 0.0184 0.8123
Se 0.3942 0.4816 0.3123
Se 0.4259 0.7243 0.5856
Se 0.4259 0.7757 0.0856
Se 0.4302 0.2090 0.5374
Se 0.4302 0.2910 0.0374
Se 0.5698 0.7090 0.9626
Se 0.5698 0.7910 0.4626
Se 0.5741 0.2243 0.9144
Se 0.5741 0.2757 0.4144
Se 0.6058 0.5184 0.6877
Se 0.6058 0.9816 0.1877
Se 0.7197 0.5955 0.3638
Se 0.7197 0.9045 0.8638
Se 0.7429 0.2209 0.5985
Se 0.7429 0.2791 0.0985
Se 0.7769 0.0308 0.3856
Se 0.7769 0.4692 0.8856
Se 0.7766 0.7461 0.6537
Se 0.7766 0.7539 0.1537
Se 0.9100 0.1224 0.7930
Se 0.9100 0.3776 0.2930
Se 0.9145 0.1011 0.0792
Se 0.9145 0.3989 0.5792
Se 0.9424 0.6646 0.8469
Se 0.9424 0.8354 0.3469

magnetization: 0.000 μB/atom
uncorrected energy: -19.142 eV per atom
formation energy without anion corrections: -588 meV/atom

Entry 3:
Computed, not measured: a PBEsol-optimized structure of KTaIn2P at the meta-GGA SCAN level of DFT.

Lattice parameters (Å, degrees): 5.3465 5.3465 5.7925 90.00 90.00 90.00
Fractional positions:
K 0.0000 0.0000 0.0000
Ta 0.0000 0.0000 0.5000
In 0.0000 0.5000 0.5000
In 0.5000 0.0000 0.5000
P 0.5000 0.5000 0.0000

magnetization: 0.654 μB/atom
uncorrected energy: -29.046 eV per atom
formation energy from the elements: 1.370 eV/atom